Model a:
Entry from Alexandria via LeMat-Bulk: a relaxed structure of BiTeF3 (PBE).

M_tot in μB/cell: 0.00

Cell lengths 4.530, 4.530, 4.530 Å; angles 90.00, 90.00, 90.00 degrees
Space group Pm-3m (No. 221)
Symmetry-distinct sites (fractional):
1 Bi 0.000 0.000 0.000 (multiplicity 1)
2 Te 0.500 0.500 0.500 (multiplicity 1)
3 F 0.000 0.500 0.500 (multiplicity 3)

Model b:
Entry from Alexandria via LeMat-Bulk: a relaxed structure of BiTeF3 (PBE).

M_tot in μB/cell: 2.00

Cell lengths 4.682, 4.682, 4.682 Å; angles 90.00, 90.00, 90.00 degrees
Space group Pm-3m (No. 221)
Symmetry-distinct sites (fractional):
1 Bi 0.000 0.000 0.000 (multiplicity 1)
2 Te 0.500 0.500 0.500 (multiplicity 1)
3 F 0.000 0.000 0.500 (multiplicity 3)

Bottom line: model b, by a margin of 58.2 kJ/mol of atoms.

Model a:
Entry from Alexandria via LeMat-Bulk: a relaxed structure of BiTeF2 (PBE).

M_tot in μB/cell: 3.15

Cell lengths 4.586, 4.586, 16.257 Å; angles 90.00, 90.00, 90.00 degrees
Space group I-42d (No. 122)
Symmetry-distinct sites (fractional):
1 Bi 0.000 0.000 0.000 (multiplicity 4)
2 Te 0.000 0.000 0.500 (multiplicity 4)
3 F 0.147 0.250 0.125 (multiplicity 8)

Model b:
Entry from Alexandria via LeMat-Bulk: a relaxed structure of BiTeF2 (PBE).

M_tot in μB/cell: 0.00

Cell lengths 3.3180, 3.3180, 27.0519 Å; angles 90.00, 90.00, 120.00 degrees
Space group R-3m (No. 166, hexagonal axes)
Symmetry-distinct sites (fractional):
1 Bi 0.0000 0.0000 0.0000 (multiplicity 3)
2 Te 0.0000 0.0000 0.5000 (multiplicity 3)
3 F 0.0000 0.0000 0.0823 (multiplicity 6)

Model c:
Entry from Alexandria via LeMat-Bulk: a relaxed structure of BiTeF2 (PBE).

M_tot in μB/cell: 0.00

Cell lengths 4.082, 7.027, 6.192 Å; angles 90.00, 109.07, 90.00 degrees
Space group P2_1/m (No. 11)
Symmetry-distinct sites (fractional):
1 Bi 0.242 0.250 0.478 (multiplicity 2)
2 Te 0.481 0.750 0.963 (multiplicity 2)
3 F 0.199 0.574 0.396 (multiplicity 4)

Bottom line: model c, by a margin of 28.5 kJ/mol of atoms.

Model a:
Entry from Alexandria via LeMat-Bulk: a relaxed structure of BiTeF (PBE).

M_tot in μB/cell: 0.00

Cell lengths 4.1723, 4.1723, 5.5760 Å; angles 90.00, 90.00, 120.00 degrees
Space group P3m1 (No. 156)
Symmetry-distinct sites (fractional):
1 Bi 0.0000 0.0000 0.0000 (multiplicity 1)
2 Te 0.3333 0.6667 0.6739 (multiplicity 1)
3 F 0.6667 0.3333 0.1571 (multiplicity 1)

Model b:
Entry from Alexandria via LeMat-Bulk: a relaxed structure of BiTeF (PBE).

M_tot in μB/cell: 0.00

Cell lengths 7.600, 4.181, 10.924 Å; angles 90.00, 94.36, 90.00 degrees
Space group Pm (No. 6)
Symmetry-distinct sites (fractional):
1 Bi 0.000 0.000 0.000 (multiplicity 1)
2 Bi 0.180 0.500 0.427 (multiplicity 1)
3 Bi 0.384 0.500 0.848 (multiplicity 1)
4 Bi 0.706 0.000 0.421 (multiplicity 1)
5 Te 0.336 0.000 0.272 (multiplicity 1)
6 Te 0.571 0.500 0.595 (multiplicity 1)
7 Te 0.591 0.000 0.983 (multiplicity 1)
8 Te 0.863 0.500 0.235 (multiplicity 1)
9 F 0.009 0.000 0.503 (multiplicity 1)
10 F 0.160 0.000 0.837 (multiplicity 1)
11 F 0.227 0.500 0.021 (multiplicity 1)
12 F 0.914 0.500 0.917 (multiplicity 1)

Model c:
Entry from Alexandria via LeMat-Bulk: a relaxed structure of BiTeF (PBE).

M_tot in μB/cell: 0.00

Cell lengths 7.224, 6.861, 8.338 Å; angles 90.00, 123.18, 90.00 degrees
Space group P2_1/c (No. 14)
Symmetry-distinct sites (fractional):
1 Bi 0.135 0.245 0.450 (multiplicity 4)
2 Te 0.311 0.590 0.705 (multiplicity 4)
3 F 0.122 0.084 0.695 (multiplicity 4)

Bottom line: model a, by a margin of 5.6 kJ/mol of atoms.

Model a:
Entry from Alexandria via LeMat-Bulk: a relaxed structure of TiBi2F (PBE).

M_tot in μB/cell: 3.95

Cell lengths 7.023, 7.023, 7.023 Å; angles 90.00, 90.00, 90.00 degrees
Space group Fm-3m (No. 225)
Symmetry-distinct sites (fractional):
1 Ti 0.000 0.000 0.000 (multiplicity 4)
2 Bi 0.250 0.250 0.250 (multiplicity 8)
3 F 0.000 0.000 0.500 (multiplicity 4)

Model b:
Entry from Alexandria via LeMat-Bulk: a relaxed structure of TiBi2F (PBE).

M_tot in μB/cell: 4.00

Cell lengths 4.530, 4.530, 19.662 Å; angles 90.00, 90.00, 90.00 degrees
Space group I-42d (No. 122)
Symmetry-distinct sites (fractional):
1 Ti 0.000 0.000 0.000 (multiplicity 4)
2 Bi 0.238 0.250 0.125 (multiplicity 8)
3 F 0.000 0.000 0.500 (multiplicity 4)

Bottom line: model a, by a margin of 13.2 kJ/mol of atoms.

Model a:
Entry from Alexandria via LeMat-Bulk: a relaxed structure of Tl2BiF (PBE).

M_tot in μB/cell: 0.00

Cell lengths 3.402, 3.402, 9.170 Å; angles 90.00, 90.00, 90.00 degrees
Space group P4/mmm (No. 123)
Symmetry-distinct sites (fractional):
1 Tl 0.000 0.000 0.185 (multiplicity 2)
2 Bi 0.500 0.500 0.500 (multiplicity 1)
3 F 0.500 0.500 0.000 (multiplicity 1)

Model b:
Entry from Alexandria via LeMat-Bulk: a relaxed structure of Tl2BiF (PBE).

M_tot in μB/cell: 0.00

Cell lengths 5.955, 5.955, 15.080 Å; angles 90.00, 90.00, 90.00 degrees
Space group I-42d (No. 122)
Symmetry-distinct sites (fractional):
1 Tl 0.167 0.250 0.125 (multiplicity 8)
2 Bi 0.000 0.000 0.500 (multiplicity 4)
3 F 0.000 0.000 0.000 (multiplicity 4)

Bottom line: model a, by a margin of 19.7 kJ/mol of atoms.

Model a:
Entry from Alexandria via LeMat-Bulk: a relaxed structure of TlBiF3 (PBE).

M_tot in μB/cell: 1.17

Cell lengths 4.669, 4.669, 4.669 Å; angles 90.00, 90.00, 90.00 degrees
Space group Pm-3m (No. 221)
Symmetry-distinct sites (fractional):
1 Tl 0.000 0.000 0.000 (multiplicity 1)
2 Bi 0.500 0.500 0.500 (multiplicity 1)
3 F 0.000 0.000 0.500 (multiplicity 3)

Model b:
Entry from Alexandria via LeMat-Bulk: a relaxed structure of TlBiF3 (PBE).

M_tot in μB/cell: 0.00

Cell lengths 4.772, 4.772, 4.772 Å; angles 90.00, 90.00, 90.00 degrees
Space group Pm-3m (No. 221)
Symmetry-distinct sites (fractional):
1 Tl 0.000 0.000 0.000 (multiplicity 1)
2 Bi 0.500 0.500 0.500 (multiplicity 1)
3 F 0.000 0.500 0.500 (multiplicity 3)

Model c:
Entry from Alexandria via LeMat-Bulk: a relaxed structure of TlBiF3 (PBE).

M_tot in μB/cell: 0.00

Cell lengths 4.206, 5.954, 10.155 Å; angles 93.72, 101.51, 108.22 degrees
Space group P1 (No. 1)
Symmetry-distinct sites (fractional):
1 Tl 0.000 0.000 0.000 (multiplicity 1)
2 Tl 0.365 0.493 0.276 (multiplicity 1)
3 Bi 0.657 0.436 0.899 (multiplicity 1)
4 Bi 0.850 0.053 0.531 (multiplicity 1)
5 F 0.001 0.226 0.750 (multiplicity 1)
6 F 0.107 0.796 0.498 (multiplicity 1)
7 F 0.248 0.551 0.974 (multiplicity 1)
8 F 0.372 0.280 0.548 (multiplicity 1)
9 F 0.768 0.155 0.330 (multiplicity 1)
10 F 0.830 0.572 0.124 (multiplicity 1)

Bottom line: model c, by a margin of 7.9 kJ/mol of atoms.

Model a:
Entry from Alexandria via LeMat-Bulk: a relaxed structure of TlBi2F (PBE).

M_tot in μB/cell: 0.00

Cell lengths 7.350, 7.350, 7.350 Å; angles 90.00, 90.00, 90.00 degrees
Space group Fm-3m (No. 225)
Symmetry-distinct sites (fractional):
1 Tl 0.000 0.000 0.000 (multiplicity 4)
2 Bi 0.250 0.250 0.250 (multiplicity 8)
3 F 0.000 0.000 0.500 (multiplicity 4)

Model b:
Entry from Alexandria via LeMat-Bulk: a relaxed structure of TlBi2F (PBE).

M_tot in μB/cell: 0.00

Cell lengths 4.500, 4.500, 22.963 Å; angles 90.00, 90.00, 90.00 degrees
Space group I-42d (No. 122)
Symmetry-distinct sites (fractional):
1 Tl 0.000 0.000 0.000 (multiplicity 4)
2 Bi 0.221 0.250 0.625 (multiplicity 8)
3 F 0.000 0.000 0.500 (multiplicity 4)

Bottom line: model b, by a margin of 7.2 kJ/mol of atoms.

Model a:
Entry from Alexandria via LeMat-Bulk: a relaxed structure of Tl2Bi2F (PBE).

M_tot in μB/cell: 0.00

Cell lengths 6.818, 6.818, 6.253 Å; angles 90.00, 90.00, 90.00 degrees
Space group P4/mbm (No. 127)
Symmetry-distinct sites (fractional):
1 Tl 0.165 0.335 0.000 (multiplicity 4)
2 Bi 0.244 0.744 0.500 (multiplicity 4)
3 F 0.000 0.000 0.000 (multiplicity 2)

Model b:
Entry from Alexandria via LeMat-Bulk: a relaxed structure of Tl2Bi2F (PBE).

M_tot in μB/cell: 0.00

Cell lengths 4.358, 4.358, 18.280 Å; angles 90.00, 90.00, 90.00 degrees
Space group I4/mmm (No. 139)
Symmetry-distinct sites (fractional):
1 Tl 0.000 0.000 0.087 (multiplicity 4)
2 Bi 0.000 0.500 0.250 (multiplicity 4)
3 F 0.000 0.000 0.500 (multiplicity 2)

Bottom line: model a, by a margin of 9.9 kJ/mol of atoms.

Model a:
Entry from Alexandria via LeMat-Bulk: a relaxed structure of TlBi2F8 (PBE).

M_tot in μB/cell: 0.49

Cell lengths 11.163, 7.204, 4.541 Å; angles 90.00, 90.19, 90.00 degrees
Space group C2/m (No. 12)
Symmetry-distinct sites (fractional):
1 Tl 0.000 0.000 0.000 (multiplicity 2)
2 Bi 0.179 0.500 0.500 (multiplicity 4)
3 F 0.000 0.500 0.248 (multiplicity 4)
4 F 0.141 0.189 0.497 (multiplicity 8)
5 F 0.229 0.500 0.002 (multiplicity 4)

Model b:
Entry from Alexandria via LeMat-Bulk: a relaxed structure of TlBi2F8 (PBE).

M_tot in μB/cell: 1.94

Cell lengths 7.178, 10.635, 4.442 Å; angles 90.00, 103.35, 90.00 degrees
Space group C2/m (No. 12)
Symmetry-distinct sites (fractional):
1 Tl 0.000 0.000 0.000 (multiplicity 2)
2 Bi 0.000 0.317 0.500 (multiplicity 4)
3 F 0.000 0.240 0.000 (multiplicity 4)
4 F 0.142 0.500 0.806 (multiplicity 4)
5 F 0.189 0.139 0.583 (multiplicity 8)

Bottom line: model b, by a margin of 3.1 kJ/mol of atoms.

Model a:
Entry from Alexandria via LeMat-Bulk: a relaxed structure of Tl3BiF6 (PBE).

M_tot in μB/cell: 0.00

Cell lengths 6.650, 6.986, 11.599 Å; angles 90.00, 124.06, 90.00 degrees
Space group P2_1/c (No. 14)
Symmetry-distinct sites (fractional):
1 Tl 0.000 0.000 0.000 (multiplicity 2)
2 Tl 0.235 0.041 0.747 (multiplicity 4)
3 Bi 0.500 0.000 0.500 (multiplicity 2)
4 F 0.161 0.164 0.450 (multiplicity 4)
5 F 0.277 0.723 0.432 (multiplicity 4)
6 F 0.396 0.054 0.278 (multiplicity 4)

Model b:
Entry from Alexandria via LeMat-Bulk: a relaxed structure of Tl3BiF6 (PBE).

M_tot in μB/cell: 0.00

Cell lengths 11.696, 6.789, 6.925 Å; angles 90.00, 124.93, 90.00 degrees
Space group C2/m (No. 12)
Symmetry-distinct sites (fractional):
1 Tl 0.000 0.000 0.000 (multiplicity 2)
2 Tl 0.248 0.000 0.720 (multiplicity 4)
3 Bi 0.000 0.500 0.500 (multiplicity 2)
4 F 0.076 0.265 0.359 (multiplicity 8)
5 F 0.218 0.500 0.844 (multiplicity 4)

Bottom line: model a, by a margin of 0.6 kJ/mol of atoms.